First-principles (PBE with a Hubbard U) data for a relaxed structure of In2CoPtO, as listed in the Alexandria database.

a b c (Å): 4.891 4.373 4.891
angles (deg): 90.00 90.00 90.00
Element x y z (fractional)
Co (0.000, 0.000, 0.000)
Pt (0.000, 0.500, 0.000)
In (0.500, 0.000, 0.000)
In (0.000, 0.000, 0.500)
O (0.500, 0.500, 0.500)

Properties
Its theoretical density is 7.93 g cm⁻³. The calculated total energy comes out at -3.498 eV/atom.